Density functional theory data (GGA-PBE) for a geometry-optimized Hf2HPb2 structure.

Unit cell a=6.291 b=6.291 c=5.180 alpha=90.00 beta=90.00 gamma=90.00
Positions (direct):
Hf 0.833 0.667 0.000
Hf 0.667 0.167 0.000
Hf 0.167 0.333 0.000
Hf 0.333 0.833 0.000
H 0.500 0.500 0.000
H 0.000 0.000 0.000
Pb 0.327 0.173 0.500
Pb 0.827 0.327 0.500
Pb 0.173 0.673 0.500
Pb 0.673 0.827 0.500

Calculated values
Distance to the lowest polymorph of the same formula, meV per atom: 0.0
Total magnetic moment, μB/f.u.: 0.00
DOS at the Fermi energy, states/eV/atom: 0.750

***

Density functional theory data (GGA-PBE) for a geometry-optimized Hf3HPb structure.

Unit cell a=6.240 b=8.080 c=8.080 alpha=90.44 beta=102.85 gamma=102.85
Positions (direct):
Pb 0.806 0.511 0.225
Pb 0.306 0.225 0.511
Pb 0.194 0.489 0.775
Pb 0.694 0.775 0.489
Hf 0.691 0.511 0.738
Hf 0.809 0.262 0.489
Hf 0.429 0.981 0.262
Hf 0.071 0.738 0.019
Hf 0.572 0.749 0.002
Hf 0.571 0.019 0.738
Hf 0.928 0.998 0.251
Hf 0.072 0.002 0.749
Hf 0.929 0.262 0.981
Hf 0.309 0.489 0.262
Hf 0.428 0.251 0.998
Hf 0.191 0.738 0.511
H 0.250 0.994 0.006
H 0.250 0.732 0.268
H 0.750 0.268 0.732
H 0.750 0.006 0.994

Calculated values
Distance to the lowest polymorph of the same formula, meV per atom: 228.0
Total magnetic moment, μB/f.u.: 0.00
DOS at the Fermi energy, states/eV/atom: 0.627

***

Density functional theory data (GGA-PBE) for a geometry-optimized Hf3HPb structure.

Unit cell a=4.477 b=4.477 c=4.477 alpha=90.00 beta=90.00 gamma=90.00
Positions (direct):
Hf 0.000 0.000 0.500
Hf 0.500 0.000 0.000
Hf 0.000 0.500 0.000
H 0.000 0.000 0.000
Pb 0.500 0.500 0.500

Calculated values
Distance to the lowest polymorph of the same formula, meV per atom: 0.0
Total magnetic moment, μB/f.u.: 0.00
DOS at the Fermi energy, states/eV/atom: 1.259

***

Density functional theory data (GGA-PBE) for a geometry-optimized Hf7H2Pb2 structure.

Unit cell a=5.982 b=6.073 c=5.982 alpha=85.21 beta=79.90 gamma=94.79
Positions (direct):
Hf 0.498 0.168 0.163
Hf 0.502 0.832 0.837
Hf 0.666 0.669 0.334
Hf 0.837 0.168 0.502
Hf 0.334 0.331 0.666
Hf 0.163 0.832 0.498
Hf 0.000 0.000 0.000
H 0.254 0.989 0.746
H 0.746 0.011 0.254
Pb 0.829 0.500 0.829
Pb 0.171 0.500 0.171

Calculated values
Total magnetic moment, μB/f.u.: 0.00
DFT total energy, eV per atom: -7.692
DOS at the Fermi energy, states/eV/atom: 0.592

***

Density functional theory data (GGA-PBE) for a geometry-optimized Hf3HPb structure.

Unit cell a=5.694 b=6.181 c=5.693 alpha=89.97 beta=65.80 gamma=90.03
Positions (direct):
H 0.416 0.886 0.319
H 0.502 0.387 0.406
Hf 0.714 0.637 0.108
Hf 0.714 0.137 0.108
Hf 0.713 0.387 0.617
Hf 0.204 0.136 0.618
Hf 0.204 0.636 0.618
Hf 0.205 0.887 0.109
Pb 0.204 0.387 0.108
Pb 0.714 0.887 0.618

Calculated values
Distance to the lowest polymorph of the same formula, meV per atom: 17.6
Total magnetic moment, μB/f.u.: 0.00
DOS at the Fermi energy, states/eV/atom: 1.049

***

Density functional theory data (GGA-PBE) for a geometry-optimized Hf6HPb structure.

Unit cell a=5.711 b=5.707 c=7.298 alpha=66.93 beta=66.95 gamma=60.01
Positions (direct):
Hf 0.254 0.965 0.181
Hf 0.599 0.254 0.181
Hf 0.746 0.035 0.819
Hf 0.965 0.599 0.181
Hf 0.401 0.746 0.819
Hf 0.035 0.401 0.819
H 0.000 0.000 0.000
Pb 0.500 0.500 0.500

Calculated values
Total magnetic moment, μB/f.u.: 0.00
DFT total energy, eV per atom: -8.090
DOS at the Fermi energy, states/eV/atom: 0.909

***

Density functional theory data (GGA-PBE) for a geometry-optimized Hf2HPb2 structure.

Unit cell a=4.369 b=4.369 c=7.627 alpha=73.36 beta=73.36 gamma=90.00
Positions (direct):
Hf 0.600 0.600 0.800
Hf 0.400 0.400 0.200
Pb 0.750 0.250 0.500
Pb 0.250 0.750 0.500
H 0.000 0.000 0.000

Calculated values
Distance to the lowest polymorph of the same formula, meV per atom: 961.4
Total magnetic moment, μB/f.u.: 0.32
DOS at the Fermi energy, states/eV/atom: 0.909

***

Density functional theory data (GGA-PBE) for a geometry-optimized Hf6HPb2 structure.

Unit cell a=6.382 b=6.382 c=8.807 alpha=90.00 beta=90.00 gamma=90.00
Positions (direct):
Hf 0.000 0.000 0.247
Hf 0.749 0.251 0.500
Hf 0.500 0.500 0.747
Hf 0.249 0.751 0.000
Hf 0.251 0.749 0.500
Hf 0.251 0.251 0.500
Hf 0.500 0.500 0.253
Hf 0.751 0.249 0.000
Hf 0.249 0.249 0.000
Hf 0.749 0.749 0.500
Hf 0.751 0.751 0.000
Hf 0.000 0.000 0.753
H 0.000 0.000 0.500
H 0.500 0.500 0.000
Pb 0.000 0.500 0.750
Pb 0.000 0.500 0.250
Pb 0.500 0.000 0.250
Pb 0.500 0.000 0.750

Calculated values
Distance to the lowest polymorph of the same formula, meV per atom: 0.0
Total magnetic moment, μB/f.u.: 0.00
DOS at the Fermi energy, states/eV/atom: 0.892

***

Density functional theory data (GGA-PBE) for a geometry-optimized Hf5HPb2 structure.

Unit cell a=6.350 b=6.350 c=6.168 alpha=120.93 beta=120.93 gamma=90.09
Positions (direct):
Hf 0.255 0.751 0.007
Hf 0.751 0.255 0.007
Hf 0.751 0.751 0.007
Hf 0.255 0.255 0.007
Hf 0.754 0.754 0.507
Pb 0.252 0.752 0.505
Pb 0.752 0.252 0.505
H 0.005 0.005 0.010

Calculated values
Total magnetic moment, μB/f.u.: 0.00
DFT total energy, eV per atom: -7.506
DOS at the Fermi energy, states/eV/atom: 0.824

***

Density functional theory data (GGA-PBE) for a geometry-optimized Hf8HPb4 structure.

Unit cell a=4.704 b=4.026 c=14.425 alpha=90.00 beta=90.00 gamma=90.00
Positions (direct):
Pb 0.000 0.500 0.595
Pb 0.500 0.000 0.909
Pb 0.000 0.000 0.091
Pb 0.500 0.500 0.407
Hf 0.000 0.000 0.756
Hf 0.000 0.500 0.921
Hf 0.500 0.000 0.581
Hf 0.000 0.500 0.255
Hf 0.500 0.000 0.245
Hf 0.500 0.500 0.080
Hf 0.500 0.500 0.748
Hf 0.000 0.000 0.428
H 0.000 0.000 0.287

Calculated values
Total magnetic moment, μB/f.u.: 0.00
DFT total energy, eV per atom: -7.583
DOS at the Fermi energy, states/eV/atom: 0.723

***

Density functional theory data (GGA-PBE) for a geometry-optimized HfH2Pb2 structure.

Unit cell a=4.636 b=4.636 c=5.466 alpha=64.91 beta=64.91 gamma=90.00
Positions (direct):
Pb 0.250 0.750 0.500
Pb 0.750 0.250 0.500
H 0.544 0.544 0.913
H 0.456 0.456 0.087
Hf 0.000 0.000 0.000

Calculated values
Distance to the lowest polymorph of the same formula, meV per atom: 0.0
Total magnetic moment, μB/f.u.: 0.00
DOS at the Fermi energy, states/eV/atom: 0.396

***

Density functional theory data (GGA-PBE) for a geometry-optimized HfHPb structure.

Unit cell a=4.707 b=3.499 c=3.499 alpha=120.00 beta=90.00 gamma=90.00
Positions (direct):
Hf 0.167 0.667 0.333
Pb 0.667 0.333 0.667
H 0.166 0.000 0.000

Calculated values
Distance to the lowest polymorph of the same formula, meV per atom: 0.0
Total magnetic moment, μB/f.u.: 0.00
DOS at the Fermi energy, states/eV/atom: 0.354

***

Density functional theory data (GGA-PBE) for a geometry-optimized Hf6HPb3 structure.

Unit cell a=5.474 b=9.209 c=9.209 alpha=114.90 beta=90.00 gamma=90.00
Positions (direct):
Hf 0.253 0.078 0.578
Hf 0.242 0.744 0.256
Hf 0.253 0.422 0.922
Hf 0.103 0.080 0.920
Hf 0.115 0.417 0.248
Hf 0.615 0.248 0.417
Hf 0.603 0.920 0.080
Hf 0.115 0.752 0.583
Hf 0.742 0.256 0.744
Hf 0.753 0.578 0.078
Hf 0.753 0.922 0.422
Hf 0.615 0.583 0.752
Pb 0.603 0.925 0.746
Pb 0.103 0.746 0.925
Pb 0.113 0.412 0.588
Pb 0.613 0.588 0.412
Pb 0.603 0.254 0.075
Pb 0.103 0.075 0.254
H 0.588 0.793 0.207
H 0.088 0.207 0.793

Calculated values
Total magnetic moment, μB/f.u.: 0.00
DFT total energy, eV per atom: -7.445
DOS at the Fermi energy, states/eV/atom: 1.004

***

Density functional theory data (GGA-PBE) for a geometry-optimized Hf2HPdPb structure.

Unit cell a=4.389 b=4.389 c=4.298 alpha=90.00 beta=90.00 gamma=90.00
Positions (direct):
Pd 0.000 0.000 0.500
Hf 0.500 0.000 0.000
Hf 0.000 0.500 0.000
Pb 0.500 0.500 0.500
H 0.000 0.000 0.000

Calculated values
Total magnetic moment, μB/f.u.: 0.00
DFT total energy, eV per atom: -6.694
DOS at the Fermi energy, states/eV/atom: 0.579

***

Density functional theory data (GGA-PBE) for a geometry-optimized HfH2RhPb structure.

Unit cell a=3.815 b=5.700 c=3.815 alpha=90.00 beta=90.00 gamma=90.00
Positions (direct):
H 0.000 0.000 0.500
H 0.500 0.000 0.000
Rh 0.000 0.500 0.000
Hf 0.500 0.500 0.500
Pb 0.000 0.000 0.000

Calculated values
Total magnetic moment, μB/f.u.: 0.00
DFT total energy, eV per atom: -5.134
DOS at the Fermi energy, states/eV/atom: 0.355

***

Density functional theory data (GGA-PBE) for a geometry-optimized HfSbH2Pb structure.

Unit cell a=4.108 b=6.396 c=4.108 alpha=90.00 beta=90.00 gamma=90.00
Positions (direct):
Hf 0.500 0.500 0.500
H 0.000 0.000 0.500
H 0.500 0.000 0.000
Pb 0.000 0.500 0.000
Sb 0.000 0.000 0.000

Calculated values
Total magnetic moment, μB/f.u.: 0.78
DFT total energy, eV per atom: -4.194
DOS at the Fermi energy, states/eV/atom: 0.340

***

Density functional theory data (GGA-PBE) for a geometry-optimized HfSc2HPb structure.

Unit cell a=4.534 b=4.534 c=4.416 alpha=90.00 beta=90.00 gamma=90.00
Positions (direct):
Hf 0.000 0.000 0.500
Pb 0.500 0.500 0.500
H 0.000 0.000 0.000
Sc 0.000 0.500 0.000
Sc 0.500 0.000 0.000

Calculated values
Total magnetic moment, μB/f.u.: 0.00
DFT total energy, eV per atom: -6.225
DOS at the Fermi energy, states/eV/atom: 0.744

***

Density functional theory data (GGA-PBE) for a geometry-optimized HfSnHPb2 structure.

Unit cell a=5.660 b=5.558 c=5.660 alpha=90.00 beta=90.00 gamma=90.00
Positions (direct):
Sn 0.000 0.500 0.000
Pb 0.000 0.000 0.500
Pb 0.500 0.000 0.000
Hf 0.000 0.000 0.000
H 0.500 0.500 0.500

Calculated values
Total magnetic moment, μB/f.u.: 0.99
DFT total energy, eV per atom: -4.158
DOS at the Fermi energy, states/eV/atom: 0.493

***

Density functional theory data (GGA-PBE) for a geometry-optimized HfTaH2Pb structure.

Unit cell a=4.001 b=5.499 c=4.001 alpha=90.00 beta=90.00 gamma=90.00
Positions (direct):
H 0.500 0.000 0.000
H 0.000 0.000 0.500
Hf 0.000 0.500 0.000
Ta 0.000 0.000 0.000
Pb 0.500 0.500 0.500

Calculated values
Total magnetic moment, μB/f.u.: 0.00
DFT total energy, eV per atom: -5.770
DOS at the Fermi energy, states/eV/atom: 0.573

***

Density functional theory data (GGA-PBE) for a geometry-optimized HfTcHPb2 structure.

Unit cell a=5.039 b=3.514 c=5.039 alpha=90.00 beta=90.00 gamma=90.00
Positions (direct):
Pb 0.500 0.000 0.000
Pb 0.000 0.000 0.500
H 0.000 0.000 0.000
Tc 0.000 0.500 0.000
Hf 0.500 0.500 0.500

Calculated values
Total magnetic moment, μB/f.u.: 0.00
DFT total energy, eV per atom: -5.836
DOS at the Fermi energy, states/eV/atom: 0.803